Compound: PdRhSCl2
Source: Alexandria via LeMat-Bulk
Functional: PBE-GGA
Structure: relaxed

```
PdRhSCl2
1.0
4.9188 0.0000 0.0000
0.0000 4.9188 0.0000
0.0000 0.0000 4.4227
S Cl Pd Rh
1 2 1 1
Cartesian
0.0000 0.0000 2.2114
0.0000 2.4594 0.0000
2.4594 0.0000 0.0000
2.4594 2.4594 2.2114
0.0000 0.0000 0.0000
```

Summary:
Formation energy from raw total energies   314.6 meV/atom
D(E_F)   2.29 states/eV/atom

=====

Compound: TaPd2RhCl
Source: Alexandria via LeMat-Bulk
Functional: PBE-GGA
Structure: relaxed

```
TaPd2RhCl
1.0
-3.0695 -3.4777 1.7137
-1.4883 -0.9614 -4.6167
3.3639 -3.1773 -0.4227
Pd Ta Rh Cl
2 1 1 1
Cartesian
-0.7441 -0.4807 -2.3083
-1.5347 -1.7389 0.8569
1.6819 -1.5887 -0.2114
0.0000 0.0000 0.0000
-0.5969 -3.8082 -1.6628
```

Summary:
Formation energy from raw total energies   1059.6 meV/atom
D(E_F)   1.06 states/eV/atom

=====

Compound: TaPd2RhCl
Source: Alexandria via LeMat-Bulk
Functional: PBE-GGA
Structure: relaxed

```
TaPd2RhCl
1.0
-1.4399 2.3363 -4.1089
-4.4963 -0.5909 1.2396
0.0996 4.3094 2.4154
Rh Pd Ta Cl
1 2 1 1
Cartesian
-2.2482 -0.2955 0.6198
0.0498 2.1547 1.2077
-0.7199 1.1682 -2.0545
0.0000 0.0000 0.0000
-2.9183 3.0274 -0.2269
```

Summary:
Formation energy from raw total energies   855.2 meV/atom
D(E_F)   0.80 states/eV/atom

=====

Compound: TlPdRhCl2
Source: Alexandria via LeMat-Bulk
Functional: PBE-GGA
Structure: relaxed

```
TlPdRhCl2
1.0
5.3497 0.0000 0.0000
0.0000 5.2750 0.0000
0.0000 0.0000 5.3497
Pd Rh Cl Tl
1 1 2 1
Cartesian
2.6749 2.6375 2.6749
0.0000 2.6375 0.0000
2.6749 0.0000 0.0000
0.0000 0.0000 2.6749
0.0000 0.0000 0.0000
```

Summary:
Formation energy from raw total energies   849.1 meV/atom
D(E_F)   0.81 states/eV/atom